Entry 1:
Crystalline Ba2ScTc at its relaxed geometry. Source: the Alexandria database, functional PBE.

Geometry as POSCAR:
```
Ba2ScTc
1.0
11.028 0.001 0.001
10.425 3.598 0.001
10.425 1.749 3.144
Ba Sc Tc
2 1 1
direct
0.013 0.013 0.013 Ba
0.487 0.487 0.487 Ba
0.250 0.250 0.250 Sc
0.750 0.750 0.750 Tc
```

Crystal system: trigonal
Energy above the most stable polymorph in this dataset, eV/f.u.: 2.516
Energy of formation, eV/atom: 0.975
Fermi-level density of states, states/eV per atom: 1.56
VASP energy, eV per atom: -4.16
Spin magnetization, μB per formula unit: 0.00



Entry 2:
Crystalline CaBe2Te2 at its relaxed geometry. Source: the Alexandria database, functional PBE.

Geometry as POSCAR:
```
CaBe2Te2
1.0
-2.762 6.991 2.156
-0.845 7.188 -2.960
-0.666 -7.772 -0.550
Te Ca Be
2 1 2
direct
0.367 0.367 0.000 Te
0.633 0.633 0.000 Te
0.000 0.000 0.000 Ca
0.750 0.250 0.500 Be
0.250 0.750 0.500 Be
```

Crystal system: tetragonal
E_form (uncorrected), eV per atom: -0.08
Fermi-level density of states, states/eV per atom: 0.55
VASP energy, eV per atom: -3.22
Spin magnetization, μB per formula unit: 0.00



Entry 3:
Crystalline BaCa3Hg at its relaxed geometry. Source: the Alexandria database, functional PBE.

Geometry as POSCAR:
```
BaCa3Hg
1.0
6.046 0.000 0.000
0.000 6.046 0.000
0.000 0.000 6.046
Hg Ca Ba
1 3 1
direct
0.000 0.000 0.000 Hg
0.500 0.000 0.000 Ca
0.000 0.000 0.500 Ca
0.000 0.500 0.000 Ca
0.500 0.500 0.500 Ba
```

Crystal system: cubic
Energy above the most stable polymorph in this dataset, eV/f.u.: 0.228
Energy of formation, eV/atom: -0.170
Fermi-level density of states, states/eV per atom: 1.45
VASP energy, eV per atom: -1.82
Spin magnetization, μB per formula unit: 0.00



Entry 4:
Crystalline Be2WAu at its relaxed geometry. Source: the Alexandria database, functional PBE.

Geometry as POSCAR:
```
Be2WAu
1.0
8.017 -0.044 -0.026
7.537 2.732 -0.026
7.537 1.303 2.402
Be W Au
2 1 1
direct
0.000 0.000 0.000 Be
0.500 0.500 0.500 Be
0.250 0.250 0.250 W
0.750 0.750 0.750 Au
```

Crystal system: trigonal
Energy above the most stable polymorph in this dataset, eV/f.u.: 0.671
Energy of formation, eV/atom: 0.272
Fermi-level density of states, states/eV per atom: 0.74
VASP energy, eV per atom: -5.65
Spin magnetization, μB per formula unit: 0.00